DFT (PBE with a Hubbard U) results for a geometry-optimized Sr3CoRu2O9 structure.

Structure (extended XYZ):
```
15
Lattice="5.6171 0.0000 0.0000 -2.8085 4.8645 0.0000 0.0000 0.0000 6.8652" Properties=species:S:1:pos:R:3 pbc="T T T"
O 0.0000 1.6379 2.2804
O 2.8085 3.2266 4.5848
O 1.4043 2.4323 0.0000
O -1.3900 4.0456 2.2804
O 1.4185 0.8190 4.5848
O 1.3900 4.0456 2.2804
O 4.1986 0.8190 4.5848
O 2.8085 0.0000 0.0000
O -1.4043 2.4323 0.0000
Ru 2.8085 1.6215 5.6720
Ru 0.0000 3.2430 1.1932
Sr 0.0000 0.0000 0.0000
Sr 0.0000 3.2430 4.5622
Sr 2.8085 1.6215 2.3030
Co 0.0000 0.0000 3.4326
```

Properties
As for the space group: No. 164. As for the volume: 187.6 Å³/cell. The total energy is -6.665 eV/atom. The spin magnetization is 8.54 μB per formula unit. As for the density of states at the Fermi level: 0.55 states/eV/atom.